(1)
Here is an optimized crystal structure of ZnReAs2 from the Alexandria database. Energies are from PBE-GGA.

Computed properties:
The total moment comes out at 0.00 μB per cell. The calculation puts the density of states at the Fermi level at 0.609 states/eV per atom. For the energy of formation, the calculation gives 276 meV/atom.

a b c (Å): 4.5034 4.5034 6.1081
angles (deg): 107.68 107.68 41.83
With the nearest neighbours (Å) after each atom.
Fractional positions:
Zn  0.0000  0.0000  0.0000  1 As 2.35, 1 Re 2.58
Re  0.7810  0.7810  0.2143  5 As 2.54-2.64, 3 Zn 2.58-2.81
As  0.2322  0.2322  0.8648  1 Zn 2.35, 2 Re 2.60
As  0.5247  0.5247  0.3737  3 Re 2.54-2.64, 2 Zn 2.74



(2)
Here is an optimized crystal structure of LaYCu2Br from the Alexandria database. Energies are from PBE-GGA.

Computed properties:
The value obtained for the uncorrected formation energy is 38 meV per atom. The total moment comes out at 0.00 μB per cell. The calculation puts the density of states at the Fermi level at 1.243 states/eV per atom.

a b c (Å): 5.1044 5.1044 5.3245
angles (deg): 90.00 90.00 90.00
With the nearest neighbours (Å) after each atom.
Fractional positions:
La  0.0000  0.0000  0.0000  4 Br 3.61, 8 Cu 3.69
Y  0.5000  0.5000  0.5000  4 Cu 2.55, 2 Br 2.66
Cu  0.0000  0.5000  0.5000  2 Y 2.55
Cu  0.5000  0.0000  0.5000  2 Y 2.55
Br  0.5000  0.5000  0.0000  2 Y 2.66



(3)
Here is an optimized crystal structure of InTe2BrN from the Alexandria database. Energies are from PBE-GGA.

Computed properties:
The value obtained for the uncorrected formation energy is 1133 meV per atom. The total moment comes out at 0.00 μB per cell. The calculation puts the distance to the lowest polymorph of the same formula at 15.9 kJ/mol of atoms. The calculation puts the density of states at the Fermi level at 0.625 states/eV per atom.

a b c (Å): 6.2585 6.2585 3.6410
angles (deg): 90.00 90.00 90.00
With the nearest neighbours (Å) after each atom.
Fractional positions:
In  0.0000  0.0000  0.0000  8 Te 3.62, 2 In 3.64
Te  0.0000  0.5000  0.5000  2 Br 3.13
Te  0.5000  0.0000  0.5000  2 Br 3.13
Br  0.5000  0.5000  0.5000  2 N 1.82
N  0.5000  0.5000  0.0000  2 Br 1.82



(4)
Here is an optimized crystal structure of MgGeOs3 from the Alexandria database. Energies are from PBE-GGA.

Computed properties:
The total moment comes out at 1.88 μB per cell. The calculation puts the distance to the lowest polymorph of the same formula at 91.1 kJ/mol of atoms. The calculation puts the density of states at the Fermi level at 0.900 states/eV per atom. For the energy of formation, the calculation gives 2349 meV/atom.

a b c (Å): 4.4898 4.4898 4.4898
angles (deg): 90.00 90.00 90.00
With the nearest neighbours (Å) after each atom.
Fractional positions:
Mg  0.0000  0.0000  0.0000  6 Os 2.24
Ge  0.5000  0.5000  0.5000  12 Os 3.17
Os  0.0000  0.0000  0.5000  2 Mg 2.24
Os  0.0000  0.5000  0.0000  2 Mg 2.24
Os  0.5000  0.0000  0.0000  2 Mg 2.24



(5)
Here is an optimized crystal structure of TlRe3F from the Alexandria database. Energies are from PBE-GGA.

Computed properties:
The value obtained for the uncorrected formation energy is 1635 meV per atom. The total moment comes out at 2.33 μB per cell. The calculation puts the distance to the lowest polymorph of the same formula at 0.0 kJ/mol of atoms. The calculation puts the density of states at the Fermi level at 1.136 states/eV per atom.

a b c (Å): 4.3300 4.3300 4.3300
angles (deg): 90.00 90.00 90.00
With the nearest neighbours (Å) after each atom.
Fractional positions:
Tl  0.0000  0.0000  0.0000  12 Re 3.06
Re  0.0000  0.5000  0.5000  2 F 2.16
Re  0.5000  0.0000  0.5000  2 F 2.16
Re  0.5000  0.5000  0.0000  2 F 2.16
F  0.5000  0.5000  0.5000  6 Re 2.16



(6)
Here is an optimized crystal structure of Er10Pb4C3 from the Alexandria database. Energies are from PBE-GGA.

Computed properties:
The total moment comes out at 0.00 μB per cell. The calculation puts the density of states at the Fermi level at 0.359 states/eV per atom. For the energy of formation, the calculation gives -564 meV/atom.

a b c (Å): 17.9426 17.9426 17.9426
angles (deg): 164.49 164.49 22.00
With the nearest neighbours (Å) after each atom.
Fractional positions:
Er  0.0000  0.5000  0.5000  2 C 2.42
Er  0.0691  0.0691  0.0000  2 C 2.43-2.47
Er  0.1380  0.6380  0.5000  2 C 2.42
Er  0.2083  0.2083  0.0000  1 C 2.43
Er  0.3620  0.8620  0.5000  2 C 2.42
Er  0.5000  0.0000  0.5000  2 C 2.42
Er  0.6380  0.1380  0.5000  2 C 2.42
Er  0.7917  0.7917  0.0000  1 C 2.43
Er  0.8620  0.3620  0.5000  2 C 2.42
Er  0.9309  0.9309  0.0000  2 C 2.43-2.47
Pb  0.2989  0.2989  0.0000  9 Er 3.19-3.43
Pb  0.4314  0.4314  0.0000  12 Er 3.42-3.44
Pb  0.5686  0.5686  0.0000  12 Er 3.42-3.44
Pb  0.7011  0.7011  0.0000  9 Er 3.19-3.43
C  0.0000  0.0000  0.0000  6 Er 2.42-2.43
C  0.1393  0.1393  0.0000  6 Er 2.42-2.47
C  0.8607  0.8607  0.0000  6 Er 2.42-2.47



(7)
Here is an optimized crystal structure of Pa2Zn5Pt4 from the Alexandria database. Energies are from PBE-GGA.

Computed properties:
The total moment comes out at 0.00 μB per cell. The calculation puts the density of states at the Fermi level at 0.881 states/eV per atom. For the energy of formation, the calculation gives -584 meV/atom.

a b c (Å): 9.6995 8.9784 5.1969
angles (deg): 81.66 66.33 32.01
With the nearest neighbours (Å) after each atom.
Fractional positions:
Pa  0.1336  0.1336  0.8664  6 Pt 2.97-3.06, 4 Zn 3.28
Pa  0.8664  0.8664  0.1336  6 Pt 2.97-3.06, 4 Zn 3.28
Zn  0.0000  0.0000  0.5000  4 Zn 2.60, 4 Pt 2.69
Zn  0.2500  0.2500  0.2500  4 Pt 2.58, 2 Zn 2.60
Zn  0.5000  0.5000  0.0000  4 Zn 2.60, 4 Pt 2.69
Zn  0.5000  0.5000  0.5000  4 Zn 2.60, 4 Pt 2.64
Zn  0.7500  0.7500  0.7500  4 Pt 2.58, 2 Zn 2.60
Pt  0.2111  0.5310  0.4690  5 Zn 2.58-2.69, 1 Pt 2.88
Pt  0.4690  0.7889  0.2111  5 Zn 2.58-2.69, 1 Pt 2.88
Pt  0.5310  0.2111  0.7889  5 Zn 2.58-2.69, 1 Pt 2.88
Pt  0.7889  0.4690  0.5310  5 Zn 2.58-2.69, 1 Pt 2.88



(8)
Here is an optimized crystal structure of LiAs2PtBr from the Alexandria database. Energies are from PBE-GGA.

Computed properties:
The value obtained for the uncorrected formation energy is 651 meV per atom. The total moment comes out at 0.00 μB per cell. The calculation puts the distance to the lowest polymorph of the same formula at 58.6 kJ/mol of atoms. The calculation puts the density of states at the Fermi level at 0.659 states/eV per atom.

a b c (Å): 4.5823 4.5823 4.6042
angles (deg): 90.00 90.00 90.00
With the nearest neighbours (Å) after each atom.
Fractional positions:
Li  0.0000  0.0000  0.0000  4 As 2.29, 2 Br 2.30
As  0.0000  0.5000  0.0000  2 Li 2.29
As  0.5000  0.0000  0.0000  2 Li 2.29
Pt  0.5000  0.5000  0.5000  4 Br 3.24, 8 As 3.25
Br  0.0000  0.0000  0.5000  2 Li 2.30



(9)
Here is an optimized crystal structure of HoBPt4 from the Alexandria database. Energies are from PBE-GGA.

Computed properties:
The total moment comes out at 0.00 μB per cell. The calculation puts the density of states at the Fermi level at 0.257 states/eV per atom. For the energy of formation, the calculation gives -732 meV/atom.

a b c (Å): 7.6841 7.6841 4.9791
angles (deg): 108.84 108.84 43.35
With the nearest neighbours (Å) after each atom.
Fractional positions:
Ho  0.1945  0.1945  0.1943  12 Pt 2.84-3.05
Ho  0.8055  0.8055  0.8057  12 Pt 2.84-3.05
B  0.5001  0.5001  0.3215  1 B 1.78
B  0.4999  0.4999  0.6785  1 B 1.78
Pt  0.1328  0.6365  0.3847  2 B 2.28
Pt  0.2505  0.7495  0.0000  2 B 2.14
Pt  0.3053  0.3053  0.8050  4 Ho 2.84-2.90, 8 Pt 2.91-3.06, 2 B 3.06
Pt  0.3635  0.8672  0.6153  2 B 2.28
Pt  0.6365  0.1328  0.3847  2 B 2.28
Pt  0.6947  0.6947  0.1950  4 Ho 2.84-2.90, 8 Pt 2.91-3.06, 2 B 3.06
Pt  0.7495  0.2505  0.0000  2 B 2.14
Pt  0.8672  0.3635  0.6153  2 B 2.28



(10)
Here is an optimized crystal structure of Ac8Rh3BrCl4 from the Alexandria database. Energies are from PBE-GGA.

Computed properties:
The value obtained for the uncorrected formation energy is -1211 meV per atom. The total moment comes out at 0.00 μB per cell. The calculation puts the density of states at the Fermi level at 0.520 states/eV per atom.

a b c (Å): 9.3504 9.3504 9.3504
angles (deg): 56.26 56.26 56.26
With the nearest neighbours (Å) after each atom.
Fractional positions:
Ac  0.2127  0.7520  0.7520  2 Rh 2.98, 1 Br 3.23, 1 Cl 3.23
Ac  0.2342  0.2342  0.2342  3 Rh 3.00
Ac  0.2480  0.2480  0.7873  2 Rh 2.98, 1 Br 3.23, 1 Cl 3.23
Ac  0.2480  0.7873  0.2480  2 Rh 2.98, 1 Br 3.23, 1 Cl 3.23
Ac  0.7520  0.2127  0.7520  2 Rh 2.98, 1 Br 3.23, 1 Cl 3.23
Ac  0.7520  0.7520  0.2127  2 Rh 2.98, 1 Br 3.23, 1 Cl 3.23
Ac  0.7658  0.7658  0.7658  3 Rh 3.00
Ac  0.7873  0.2480  0.2480  2 Rh 2.98, 1 Br 3.23, 1 Cl 3.23
Rh  0.0000  0.0000  0.5000  6 Ac 2.98-3.00
Rh  0.0000  0.5000  0.0000  6 Ac 2.98-3.00
Rh  0.5000  0.0000  0.0000  6 Ac 2.98-3.00
Br  0.5000  0.5000  0.5000  6 Ac 3.23
Cl  0.0000  0.0000  0.0000  6 Ac 3.23
Cl  0.0000  0.5000  0.5000  6 Ac 3.45-3.46
Cl  0.5000  0.0000  0.5000  6 Ac 3.45-3.46
Cl  0.5000  0.5000  0.0000  6 Ac 3.45-3.46



> Which of these has the highest total moment?

TlRe3F